Entry 1:
# Ca3Ho4Se8 PBE-GGA relaxed
# Magnetic moment, Bohr magnetons per cell: 0.0
# Formation energy from raw total energies, meV/atom: -1903.1
# SG: C2/m (12)
# Mass density, g/cm3: 5.973
# Calculated volume, Å³ per atom: 26.2
data_Ca3Ho4Se8
_chemical_formula_sum 'Ca3 Ho4 Se8'
_cell_length_a 8.179
_cell_length_b 8.204
_cell_length_c 8.204
_cell_angle_alpha 90.19
_cell_angle_beta 119.68
_cell_angle_gamma 119.68
_symmetry_space_group_name_H-M 'P 1'
_symmetry_Int_Tables_number 1
loop_
_symmetry_equiv_pos_as_xyz
'x,y,z'
loop_
_atom_site_label
_atom_site_type_symbol
_atom_site_fract_x
_atom_site_fract_y
_atom_site_fract_z
_atom_site_occupancy
Se1 Se 0.491 0.241 0.241 1
Se2 Se 0.000 0.752 0.248 1
Se3 Se 0.995 0.247 0.247 1
Se4 Se 0.005 0.753 0.753 1
Se5 Se 0.500 0.248 0.752 1
Se6 Se 0.509 0.759 0.759 1
Se7 Se 0.000 0.248 0.752 1
Se8 Se 0.500 0.752 0.248 1
Ca1 Ca 0.500 0.500 0.000 1
Ca2 Ca 0.500 0.500 0.500 1
Ca3 Ca 0.500 0.000 0.500 1
Ho1 Ho 0.000 0.000 0.000 1
Ho2 Ho 0.500 0.000 0.000 1
Ho3 Ho 0.000 0.500 0.000 1
Ho4 Ho 0.000 0.000 0.500 1


Entry 2:
# CrIr PBE-GGA relaxed
# Magnetic moment, Bohr magnetons per cell: 15.1
# SG: I-43m (217)
# Energy of formation, eV/f.u.: 2.47
# Mass density, g/cm3: 7.879
# Calculated volume, Å³ per atom: 25.7
data_CrIr
_chemical_formula_sum 'Cr8 Ir8'
_cell_length_a 7.440
_cell_length_b 7.440
_cell_length_c 7.440
_cell_angle_alpha 90.00
_cell_angle_beta 90.00
_cell_angle_gamma 90.00
_symmetry_space_group_name_H-M 'P 1'
_symmetry_Int_Tables_number 1
loop_
_symmetry_equiv_pos_as_xyz
'x,y,z'
loop_
_atom_site_label
_atom_site_type_symbol
_atom_site_fract_x
_atom_site_fract_y
_atom_site_fract_z
_atom_site_occupancy
Cr1 Cr 0.839 0.839 0.161 1
Cr2 Cr 0.161 0.161 0.161 1
Cr3 Cr 0.339 0.339 0.661 1
Cr4 Cr 0.661 0.661 0.661 1
Cr5 Cr 0.839 0.161 0.839 1
Cr6 Cr 0.339 0.661 0.339 1
Cr7 Cr 0.661 0.339 0.339 1
Cr8 Cr 0.161 0.839 0.839 1
Ir1 Ir 0.845 0.155 0.155 1
Ir2 Ir 0.155 0.845 0.155 1
Ir3 Ir 0.155 0.155 0.845 1
Ir4 Ir 0.845 0.845 0.845 1
Ir5 Ir 0.345 0.655 0.655 1
Ir6 Ir 0.655 0.345 0.655 1
Ir7 Ir 0.345 0.345 0.345 1
Ir8 Ir 0.655 0.655 0.345 1


Entry 3:
# EuHgPtAu PBE-GGA relaxed
# Magnetic moment, Bohr magnetons per cell: 6.9
# SG: F-43m (216)
# Energy of formation, eV/f.u.: -1.68
# Mass density, g/cm3: 14.231
# Calculated volume, Å³ per atom: 21.7
data_EuHgPtAu
_chemical_formula_sum 'Eu1 Hg1 Pt1 Au1'
_cell_length_a 4.971
_cell_length_b 4.971
_cell_length_c 4.971
_cell_angle_alpha 60.00
_cell_angle_beta 60.00
_cell_angle_gamma 60.00
_symmetry_space_group_name_H-M 'P 1'
_symmetry_Int_Tables_number 1
loop_
_symmetry_equiv_pos_as_xyz
'x,y,z'
loop_
_atom_site_label
_atom_site_type_symbol
_atom_site_fract_x
_atom_site_fract_y
_atom_site_fract_z
_atom_site_occupancy
Pt1 Pt 0.500 0.500 0.500 1
Eu1 Eu 0.000 0.000 0.000 1
Au1 Au 0.750 0.750 0.750 1
Hg1 Hg 0.250 0.250 0.250 1


Entry 4:
# Tb4Ho3Hg4 PBE-GGA relaxed
# Magnetic moment, Bohr magnetons per cell: 0.0
# SG: Immm (71)
# Energy of formation, eV/f.u.: -2.54
# Mass density, g/cm3: 10.292
# Calculated volume, Å³ per atom: 28.4
data_Tb4Ho3Hg4
_chemical_formula_sum 'Tb4 Ho3 Hg4'
_cell_length_a 5.195
_cell_length_b 7.063
_cell_length_c 9.563
_cell_angle_alpha 111.67
_cell_angle_beta 105.76
_cell_angle_gamma 90.00
_symmetry_space_group_name_H-M 'P 1'
_symmetry_Int_Tables_number 1
loop_
_symmetry_equiv_pos_as_xyz
'x,y,z'
loop_
_atom_site_label
_atom_site_type_symbol
_atom_site_fract_x
_atom_site_fract_y
_atom_site_fract_z
_atom_site_occupancy
Tb1 Tb 0.321 0.084 0.642 1
Tb2 Tb 0.321 0.558 0.642 1
Tb3 Tb 0.679 0.916 0.358 1
Tb4 Tb 0.679 0.442 0.358 1
Hg1 Hg 0.822 0.322 0.644 1
Hg2 Hg 0.178 0.678 0.356 1
Hg3 Hg 0.500 0.211 0.000 1
Hg4 Hg 0.500 0.789 0.000 1
Ho1 Ho 0.098 0.098 0.197 1
Ho2 Ho 0.000 0.500 0.000 1
Ho3 Ho 0.902 0.902 0.803 1


Entry 5:
# Rb2NpAgF6 PBE-GGA relaxed
# Magnetic moment, Bohr magnetons per cell: 3.9
# Formation energy from raw total energies, meV/atom: -2645.9
# SG: Fm-3m (225)
# Mass density, g/cm3: 4.901
# Calculated volume, Å³ per atom: 21.3
data_Rb2NpAgF6
_chemical_formula_sum 'Rb2 Np1 Ag1 F6'
_cell_length_a 6.707
_cell_length_b 6.705
_cell_length_c 6.709
_cell_angle_alpha 59.99
_cell_angle_beta 60.02
_cell_angle_gamma 89.99
_symmetry_space_group_name_H-M 'P 1'
_symmetry_Int_Tables_number 1
loop_
_symmetry_equiv_pos_as_xyz
'x,y,z'
loop_
_atom_site_label
_atom_site_type_symbol
_atom_site_fract_x
_atom_site_fract_y
_atom_site_fract_z
_atom_site_occupancy
F1 F 0.738 0.738 0.000 1
F2 F 0.262 0.262 0.000 1
F3 F 0.262 0.738 0.000 1
F4 F 0.738 0.738 0.524 1
F5 F 0.738 0.262 0.000 1
F6 F 0.262 0.262 0.476 1
Rb1 Rb 0.750 0.250 0.500 1
Rb2 Rb 0.250 0.750 0.500 1
Np1 Np 0.500 0.500 0.000 1
Ag1 Ag 0.000 0.000 0.000 1


Entry 6:
# Pr5Dy4Sc2 PBE-GGA relaxed
# Magnetic moment, Bohr magnetons per cell: 0.0
# SG: P2/m (10)
# Energy of formation, eV/f.u.: 0.89
# Mass density, g/cm3: 6.678
# Calculated volume, Å³ per atom: 32.7
data_Pr5Dy4Sc2
_chemical_formula_sum 'Pr5 Dy4 Sc2'
_cell_length_a 3.544
_cell_length_b 8.942
_cell_length_c 11.361
_cell_angle_alpha 86.03
_cell_angle_beta 90.00
_cell_angle_gamma 90.00
_symmetry_space_group_name_H-M 'P 1'
_symmetry_Int_Tables_number 1
loop_
_symmetry_equiv_pos_as_xyz
'x,y,z'
loop_
_atom_site_label
_atom_site_type_symbol
_atom_site_fract_x
_atom_site_fract_y
_atom_site_fract_z
_atom_site_occupancy
Pr1 Pr 0.000 0.436 0.312 1
Pr2 Pr 0.000 0.564 0.688 1
Pr3 Pr 0.000 0.176 0.844 1
Pr4 Pr 0.000 0.824 0.156 1
Pr5 Pr 0.000 0.500 0.000 1
Dy1 Dy 0.500 0.826 0.872 1
Dy2 Dy 0.500 0.174 0.128 1
Dy3 Dy 0.500 0.747 0.439 1
Dy4 Dy 0.500 0.253 0.561 1
Sc1 Sc 0.000 0.937 0.631 1
Sc2 Sc 0.000 0.063 0.369 1


Entry 7:
# Cs2HfIrBr PBE-GGA relaxed
# Magnetic moment, Bohr magnetons per cell: 2.4
# Formation energy from raw total energies, meV/atom: 1139.6
# SG: P4/mmm (123)
# Mass density, g/cm3: 5.292
# Calculated volume, Å³ per atom: 45.0
data_Cs2HfIrBr
_chemical_formula_sum 'Cs2 Hf1 Ir1 Br1'
_cell_length_a 6.972
_cell_length_b 4.625
_cell_length_c 6.972
_cell_angle_alpha 90.00
_cell_angle_beta 90.00
_cell_angle_gamma 90.00
_symmetry_space_group_name_H-M 'P 1'
_symmetry_Int_Tables_number 1
loop_
_symmetry_equiv_pos_as_xyz
'x,y,z'
loop_
_atom_site_label
_atom_site_type_symbol
_atom_site_fract_x
_atom_site_fract_y
_atom_site_fract_z
_atom_site_occupancy
Cs1 Cs 0.000 0.000 0.500 1
Cs2 Cs 0.500 0.000 0.000 1
Br1 Br 0.000 0.000 0.000 1
Hf1 Hf 0.500 0.500 0.500 1
Ir1 Ir 0.000 0.500 0.000 1


Entry 8:
# RbMg2UO6 PBE-GGA relaxed
# Magnetic moment, Bohr magnetons per cell: 1.9
# Formation energy from raw total energies, meV/atom: -2480.5
# SG: C2/c (15)
# Mass density, g/cm3: 4.995
# Calculated volume, Å³ per atom: 15.6
data_RbMg2UO6
_chemical_formula_sum 'Rb2 Mg4 U2 O12'
_cell_length_a 6.244
_cell_length_b 7.126
_cell_length_c 7.126
_cell_angle_alpha 100.81
_cell_angle_beta 91.17
_cell_angle_gamma 91.17
_symmetry_space_group_name_H-M 'P 1'
_symmetry_Int_Tables_number 1
loop_
_symmetry_equiv_pos_as_xyz
'x,y,z'
loop_
_atom_site_label
_atom_site_type_symbol
_atom_site_fract_x
_atom_site_fract_y
_atom_site_fract_z
_atom_site_occupancy
Rb1 Rb 0.750 0.082 0.918 1
Rb2 Rb 0.250 0.918 0.082 1
O1 O 0.078 0.725 0.367 1
O2 O 0.678 0.723 0.591 1
O3 O 0.681 0.979 0.307 1
O4 O 0.922 0.275 0.633 1
O5 O 0.319 0.021 0.693 1
O6 O 0.822 0.409 0.277 1
O7 O 0.322 0.277 0.409 1
O8 O 0.181 0.307 0.979 1
O9 O 0.178 0.591 0.723 1
O10 O 0.819 0.693 0.021 1
O11 O 0.422 0.633 0.275 1
O12 O 0.578 0.367 0.725 1
U1 U 0.750 0.700 0.300 1
U2 U 0.250 0.300 0.700 1
Mg1 Mg 0.662 0.249 0.438 1
Mg2 Mg 0.162 0.438 0.249 1
Mg3 Mg 0.838 0.562 0.751 1
Mg4 Mg 0.338 0.751 0.562 1


Entry 9:
# FeNiSeN2 PBE-GGA relaxed
# Magnetic moment, Bohr magnetons per cell: 0.2
# Formation energy from raw total energies, meV/atom: 1429.4
# SG: P4/mmm (123)
# Mass density, g/cm3: 4.665
# Calculated volume, Å³ per atom: 15.8
data_FeNiSeN2
_chemical_formula_sum 'Fe1 Ni1 Se1 N2'
_cell_length_a 3.462
_cell_length_b 3.462
_cell_length_c 6.579
_cell_angle_alpha 90.00
_cell_angle_beta 90.00
_cell_angle_gamma 90.00
_symmetry_space_group_name_H-M 'P 1'
_symmetry_Int_Tables_number 1
loop_
_symmetry_equiv_pos_as_xyz
'x,y,z'
loop_
_atom_site_label
_atom_site_type_symbol
_atom_site_fract_x
_atom_site_fract_y
_atom_site_fract_z
_atom_site_occupancy
Ni1 Ni 0.000 0.000 0.000 1
N1 N 0.500 0.000 0.000 1
N2 N 0.000 0.500 0.000 1
Fe1 Fe 0.500 0.500 0.500 1
Se1 Se 0.000 0.000 0.500 1


Entry 10:
# Ce3Dy2PaN6 PBE-GGA relaxed
# Magnetic moment, Bohr magnetons per cell: 0.0
# Formation energy from raw total energies, meV/atom: -1612.2
# SG: C2/m (12)
# Mass density, g/cm3: 9.463
# Calculated volume, Å³ per atom: 15.5
data_Ce3Dy2PaN6
_chemical_formula_sum 'Ce3 Dy2 Pa1 N6'
_cell_length_a 6.084
_cell_length_b 6.084
_cell_length_c 6.148
_cell_angle_alpha 99.47
_cell_angle_beta 99.47
_cell_angle_gamma 120.00
_symmetry_space_group_name_H-M 'P 1'
_symmetry_Int_Tables_number 1
loop_
_symmetry_equiv_pos_as_xyz
'x,y,z'
loop_
_atom_site_label
_atom_site_type_symbol
_atom_site_fract_x
_atom_site_fract_y
_atom_site_fract_z
_atom_site_occupancy
Dy1 Dy 0.667 0.333 0.000 1
Dy2 Dy 0.333 0.667 0.000 1
N1 N 0.759 0.759 0.237 1
N2 N 0.079 0.399 0.236 1
N3 N 0.921 0.601 0.764 1
N4 N 0.241 0.241 0.763 1
N5 N 0.601 0.921 0.764 1
N6 N 0.399 0.079 0.236 1
Ce1 Ce 0.168 0.832 0.500 1
Ce2 Ce 0.832 0.168 0.500 1
Ce3 Ce 0.500 0.500 0.500 1
Pa1 Pa 0.000 0.000 0.000 1